1.
Here is Li3Nb3TeO12 at its PBEsol-relaxed geometry from the Alexandria database. Energies are from SCAN.

Results
Its total DFT energy (no corrections) is -13.84 eV/atom. The calculation puts the density of states at the Fermi level at 0.000 states/eV/f.u. As for the crystal system: triclinic. The value obtained for the raw formation energy is -2.34 eV/atom. Its space group is P1 (1).

```
19
Lattice="-4.313 1.167 -2.547 1.354 -3.536 -3.910 -3.767 -5.066 4.125" Properties=species:S:1:pos:R:3 pbc="T T T"
Li -3.084 -0.709 -0.277
Li -6.406 -4.409 -1.487
Li -4.580 -1.887 -3.457
Nb -5.042 -6.363 0.417
Nb -3.159 -3.833 -1.536
Nb -1.665 -2.593 1.658
Te -3.504 -5.146 3.636
O -5.797 -6.308 -1.493
O -3.562 -4.904 -3.259
O -2.627 -2.437 -3.107
O -2.377 -2.581 -0.313
O -4.914 -3.069 -1.637
O -4.339 -0.369 -1.825
O -0.313 -1.247 -1.952
O -6.033 -4.704 0.709
O -3.034 -3.831 2.269
O -0.175 -2.955 -4.224
O -3.455 -5.244 -0.328
O -1.230 -4.490 -1.965
```

---

2.
Here is Li7Zr3NbTe4O24 at its PBEsol-relaxed geometry from the Alexandria database. Energies are from SCAN.

Results
Its total DFT energy (no corrections) is -13.54 eV/atom. The calculation puts the density of states at the Fermi level at 0.000 states/eV/f.u. As for the crystal system: trigonal. The value obtained for the raw formation energy is -2.25 eV/atom. Its space group is R3 (146).

```
39
Lattice="5.167 0.000 0.000 2.584 4.475 0.000 2.584 1.492 18.383" Properties=species:S:1:pos:R:3 pbc="T T T"
Li 5.167 2.983 6.300
Li 2.584 1.492 15.459
Li 2.584 1.492 1.693
Li 7.751 4.475 17.628
Li 7.751 4.475 10.853
Li 7.751 4.475 3.852
Li 5.167 2.983 12.929
Zr 7.751 4.475 0.042
Zr 2.584 1.492 4.667
Zr 7.751 4.475 13.810
Nb 5.167 2.983 9.186
Te 5.167 2.983 2.300
Te 2.584 1.492 11.422
Te 7.751 4.475 6.918
Te 5.167 2.983 16.054
O 3.264 3.102 5.736
O 3.633 3.074 1.110
O 6.013 4.267 1.110
O 3.513 2.784 10.289
O 4.221 1.671 17.090
O 4.222 1.673 3.339
O 6.719 3.256 7.970
O 4.628 1.503 7.970
O 6.775 2.820 3.339
O 4.186 1.308 12.457
O 5.856 1.609 1.110
O 5.860 1.611 14.865
O 6.168 1.650 10.289
O 6.017 1.276 5.736
O 4.207 4.671 12.457
O 4.506 4.457 3.339
O 4.504 4.459 17.090
O 4.155 4.191 7.970
O 5.822 4.516 10.289
O 6.222 4.573 5.736
O 3.633 3.070 14.865
O 6.010 4.269 14.865
O 7.109 2.971 12.457
O 6.777 2.820 17.090
```

---

3.
Here is Li2Ti3NbO8 at its PBEsol-relaxed geometry from the Alexandria database. Energies are from SCAN.

Results
Its total DFT energy (no corrections) is -12.62 eV/atom. The calculation puts the relative energy among the computed polymorphs at 10 meV per atom. The calculation puts the density of states at the Fermi level at 5.615 states/eV/f.u. As for the crystal system: hexagonal. The value obtained for the raw formation energy is -2.91 eV/atom. Its space group is P6_3mc (186).

```
28
Lattice="-3.696 -4.262 1.704 1.932 0.174 -5.565 7.551 -5.569 2.447" Properties=species:S:1:pos:R:3 pbc="T T T"
Li 4.561 -4.628 -1.682
Li 3.818 -2.816 1.237
Li 0.043 -0.032 0.014
Li -1.090 -3.322 -0.482
Ti 2.167 -2.241 -0.906
Ti 4.121 -7.786 -0.345
Ti 3.172 -7.872 2.388
Ti 3.115 -2.156 -3.639
Ti 1.300 -4.249 -2.802
Ti 4.988 -5.778 1.551
Nb 0.171 -1.390 -3.105
Nb 2.071 -5.653 0.542
O 7.834 -5.584 -2.165
O 1.309 -2.803 -4.173
O 3.025 -3.494 -2.180
O 1.420 -1.047 0.460
O 5.195 -3.832 1.684
O 5.952 -7.755 -1.297
O 2.111 -0.944 -2.417
O 0.430 -2.882 -1.642
O 1.256 -5.695 -1.332
O 6.850 -5.672 0.669
O 4.036 -5.801 -0.199
O 2.355 -7.739 0.576
O 4.924 -7.758 1.467
O 2.154 -3.613 0.635
O 3.157 -5.880 2.331
O 0.272 -5.784 1.503
```

---

4.
Here is Li2Ti3NbO8 at its PBEsol-relaxed geometry from the Alexandria database. Energies are from SCAN.

Results
Its total DFT energy (no corrections) is -12.62 eV/atom. The calculation puts the relative energy among the computed polymorphs at 2 meV per atom. The calculation puts the density of states at the Fermi level at 4.247 states/eV/f.u. As for the crystal system: trigonal. The value obtained for the raw formation energy is -2.92 eV/atom. Its space group is R-3m (166).

```
14
Lattice="5.980 0.009 0.006 2.991 5.178 0.006 2.991 1.729 4.881" Properties=species:S:1:pos:R:3 pbc="T T T"
Li 1.489 0.861 0.609
Li 10.473 6.056 4.285
Ti 4.485 0.869 2.444
Ti 2.991 3.454 2.444
Ti 4.485 2.594 0.006
Nb 5.981 3.459 2.447
O 3.152 1.823 1.290
O 4.443 2.569 3.510
O 5.826 1.774 1.255
O 4.443 4.165 1.255
O 7.518 2.752 3.639
O 6.136 5.143 3.639
O 7.518 4.348 1.384
O 8.810 5.094 3.604
```

---

no.,magnetization (μB per cell)
1,0.000
2,0.000
3,0.206
4,0.000